# 1
Below is SrBeCdHg2 after structural relaxation, with properties calculated at the PBE level.

The structure in extended XYZ format:
```
5
Lattice="-1.176 -2.689 3.997 -2.092 -3.421 -2.917 4.289 -2.350 -0.319" Properties=species:S:1:pos:R:3 pbc="T T T"
Sr 0.510 -4.230 0.380
Be 0.000 0.000 0.000
Hg -1.046 -1.710 -1.458
Hg -0.588 -1.344 1.998
Cd 2.144 -1.175 -0.160
```

## Properties
V: 120.5 Å³ per cell
Raw total energy: -1.4971 eV per atom
SG: P4/mmm (123)

***

# 2
Below is Be2CdTcHg after structural relaxation, with properties calculated at the PBE level.

The structure in extended XYZ format:
```
5
Lattice="4.356 0.000 0.000 0.000 4.356 0.000 0.000 0.000 5.183" Properties=species:S:1:pos:R:3 pbc="T T T"
Tc 0.000 0.000 2.591
Be 0.000 2.178 0.000
Be 2.178 0.000 0.000
Hg 2.178 2.178 2.591
Cd 0.000 0.000 0.000
```

## Properties
V: 98.4 Å³ per cell
Raw total energy: -2.4162 eV per atom
SG: P4/mmm (123)

***

# 3
Below is BeTl2CdHg after structural relaxation, with properties calculated at the PBE level.

The structure in extended XYZ format:
```
5
Lattice="5.705 0.000 0.000 0.000 5.517 0.000 0.000 0.000 5.705" Properties=species:S:1:pos:R:3 pbc="T T T"
Be 2.852 2.758 2.852
Tl 0.000 0.000 2.852
Tl 2.852 0.000 0.000
Hg 0.000 2.758 0.000
Cd 0.000 0.000 0.000
```

## Properties
V: 179.5 Å³ per cell
Raw total energy: -1.1105 eV per atom
SG: P4/mmm (123)